Entry from the Alexandria database: a relaxed MoWO4 crystal (GGA+U).

abc: 6.697 6.840 3.263
angles: 90.00 90.00 90.00
Space group Cmmm (No. 65)
Asymmetric unit:
Mo (0.000, 0.000, 0.000) [2 per cell]
W (0.000, 0.500, 0.500) [2 per cell]
O (0.000, 0.315, 0.000) [4 per cell]
O (0.209, 0.000, 0.500) [4 per cell]

Summary:
For the total DFT energy (no corrections), the calculation gives -45.76 eV/f.u. Its calculated volume is 12.45 Å³ per atom.